No. 1
# NbVCrCuSi

A relaxed structure of NbVCrCuSi (GGA-PBE, the Alexandria database).

abc: 3.213 3.881 11.169
angles: 90.00 90.00 90.00
Sites, in units of the cell vectors:
Nb  0.000  0.000  0.000
Nb  0.500  0.500  0.500
V  0.000  0.500  0.733
V  0.500  0.000  0.233
Cr  0.000  0.500  0.248
Cr  0.500  0.000  0.748
Cu  0.000  0.000  0.396
Cu  0.500  0.500  0.896
Si  0.000  0.000  0.592
Si  0.500  0.500  0.092

Properties
Magnetization in μB/f.u.: 0.00
E_tot in eV per atom: -7.803


No. 2
# NbVCrCuSi

A relaxed structure of NbVCrCuSi (GGA-PBE, the Alexandria database).

abc: 3.258 3.258 13.056
angles: 90.00 90.00 90.00
Sites, in units of the cell vectors:
Nb  0.000  0.000  0.000
Nb  0.500  0.500  0.500
V  0.000  0.000  0.385
V  0.500  0.500  0.885
Cr  0.000  0.000  0.191
Cr  0.500  0.500  0.691
Cu  0.000  0.000  0.790
Cu  0.500  0.500  0.290
Si  0.000  0.000  0.607
Si  0.500  0.500  0.107

Properties
Magnetization in μB/f.u.: 0.35
E_tot in eV per atom: -7.641


No. 3
# NbVCrCuSi

A relaxed structure of NbVCrCuSi (GGA-PBE, the Alexandria database).

abc: 2.661 5.043 5.321
angles: 88.76 78.21 82.50
Sites, in units of the cell vectors:
Nb  0.000  0.000  0.000
V  0.322  0.801  0.483
Cr  0.482  0.207  0.497
Cu  0.721  0.516  0.816
Si  0.050  0.482  0.199

Properties
Magnetization in μB/f.u.: 0.00
E_tot in eV per atom: -7.661


No. 4
# NbVCrCuSi

A relaxed structure of NbVCrCuSi (GGA-PBE, the Alexandria database).

abc: 2.977 2.977 15.345
angles: 90.00 90.00 90.00
Sites, in units of the cell vectors:
Nb  0.000  0.000  0.000
Nb  0.500  0.500  0.500
V  0.000  0.000  0.783
V  0.500  0.500  0.283
Cr  0.000  0.000  0.201
Cr  0.500  0.500  0.701
Cu  0.000  0.000  0.381
Cu  0.500  0.500  0.881
Si  0.000  0.000  0.616
Si  0.500  0.500  0.116

Properties
Magnetization in μB/f.u.: 0.00
E_tot in eV per atom: -7.804


No. 5
# NbVCrCuSi

A relaxed structure of NbVCrCuSi (GGA-PBE, the Alexandria database).

abc: 13.104 3.913 2.663
angles: 90.00 90.97 90.00
Sites, in units of the cell vectors:
Nb  0.000  0.000  0.000
Nb  0.500  0.500  0.000
V  0.207  0.000  0.911
V  0.707  0.500  0.911
Cr  0.305  0.500  0.188
Cr  0.805  0.000  0.188
Cu  0.117  0.500  0.475
Cu  0.617  0.000  0.475
Si  0.385  0.000  0.565
Si  0.885  0.500  0.565

Properties
Magnetization in μB/f.u.: 0.00
E_tot in eV per atom: -7.728


No. 6
# NbVCrCuSi

A relaxed structure of NbVCrCuSi (GGA-PBE, the Alexandria database).

abc: 12.569 3.990 2.766
angles: 90.00 98.67 90.00
Sites, in units of the cell vectors:
Nb  0.000  0.000  0.000
Nb  0.500  0.500  0.000
V  0.207  0.000  0.794
V  0.707  0.500  0.794
Cr  0.113  0.500  0.460
Cr  0.613  0.000  0.460
Cu  0.398  0.000  0.428
Cu  0.898  0.500  0.428
Si  0.297  0.500  0.316
Si  0.797  0.000  0.316

Properties
Magnetization in μB/f.u.: 0.00
E_tot in eV per atom: -7.787


No. 7
# NbVCrCuSi

A relaxed structure of NbVCrCuSi (GGA-PBE, the Alexandria database).

abc: 9.417 3.283 5.593
angles: 90.00 125.87 90.00
Sites, in units of the cell vectors:
Nb  0.000  0.000  0.000
Nb  0.500  0.500  0.000
V  0.037  0.500  0.537
V  0.537  0.000  0.537
Cr  0.285  0.500  0.287
Cr  0.785  0.000  0.287
Cu  0.265  0.000  0.961
Cu  0.765  0.500  0.961
Si  0.267  0.000  0.567
Si  0.767  0.500  0.567

Properties
Magnetization in μB/f.u.: 0.00
E_tot in eV per atom: -7.756


No. 8
# NbVCrCuSi

A relaxed structure of NbVCrCuSi (GGA-PBE, the Alexandria database).

abc: 8.005 4.133 5.639
angles: 90.00 132.70 90.00
Sites, in units of the cell vectors:
Nb  0.000  0.000  0.000
Nb  0.500  0.500  0.000
V  0.317  0.500  0.375
V  0.817  0.000  0.375
Cr  0.204  0.000  0.657
Cr  0.704  0.500  0.657
Cu  0.454  0.000  0.263
Cu  0.954  0.500  0.263
Si  0.058  0.500  0.752
Si  0.558  0.000  0.752

Properties
Magnetization in μB/f.u.: 0.00
E_tot in eV per atom: -7.749


No. 9
# NbVCrCuSi

A relaxed structure of NbVCrCuSi (GGA-PBE, the Alexandria database).

abc: 4.272 3.258 10.142
angles: 90.00 102.13 90.00
Sites, in units of the cell vectors:
Nb  0.000  0.000  0.000
Nb  0.500  0.500  0.000
V  0.216  0.000  0.423
V  0.716  0.500  0.423
Cr  0.309  0.500  0.608
Cr  0.809  0.000  0.608
Cu  0.118  0.500  0.222
Cu  0.618  0.000  0.222
Si  0.448  0.000  0.789
Si  0.948  0.500  0.789

Properties
Magnetization in μB/f.u.: 0.00
E_tot in eV per atom: -7.669


No. 10
# NbVCrCuSi

A relaxed structure of NbVCrCuSi (GGA-PBE, the Alexandria database).

abc: 3.351 3.687 5.657
angles: 90.00 90.00 90.00
Sites, in units of the cell vectors:
Nb  0.000  0.000  0.000
V  0.500  0.000  0.469
Cr  0.000  0.500  0.464
Cu  0.500  0.500  0.778
Si  0.500  0.500  0.167

Properties
Magnetization in μB/f.u.: 0.00
E_tot in eV per atom: -7.798


No. 11
# NbVCrCuSi

A relaxed structure of NbVCrCuSi (GGA-PBE, the Alexandria database).

abc: 12.707 4.035 2.653
angles: 90.00 91.10 90.00
Sites, in units of the cell vectors:
Nb  0.000  0.000  0.000
Nb  0.500  0.500  0.000
V  0.203  0.000  0.841
V  0.703  0.500  0.841
Cr  0.299  0.500  0.119
Cr  0.799  0.000  0.119
Cu  0.390  0.000  0.523
Cu  0.890  0.500  0.523
Si  0.116  0.500  0.440
Si  0.616  0.000  0.440

Properties
Magnetization in μB/f.u.: 0.00
E_tot in eV per atom: -7.723


No. 12
# Ti2NbCrCu

A relaxed structure of Ti2NbCrCu (GGA-PBE, the Alexandria database).

abc: 4.763 4.763 4.622
angles: 90.00 90.00 90.00
Sites, in units of the cell vectors:
Ti  0.000  0.500  0.000
Ti  0.500  0.000  0.000
Nb  0.000  0.000  0.000
Cr  0.000  0.000  0.500
Cu  0.500  0.500  0.500

Properties
Magnetization in μB/f.u.: 3.11
Formation energy in eV/atom: 1.32